Density functional theory data (PBE) for a relaxed structure of Cd4Cl5O.

Computed properties:
The value obtained for the volume is 23.70 Å³/atom. The uncorrected formation energy comes out at -0.898 eV per atom. As for the symmetry: C2/m (12).

a b c (Å): 3.795 7.432 8.831
angles (deg): 102.73 102.41 90.00
Fractional coordinates of all 10 atoms:
1 Cd 0.644 0.076 0.288
2 Cd 0.356 0.924 0.712
3 Cd 0.001 0.216 0.002
4 Cd 0.999 0.784 0.998
5 Cl 0.164 0.327 0.328
6 Cl 0.170 0.844 0.339
7 Cl 0.830 0.156 0.661
8 Cl 0.836 0.673 0.672
9 Cl 0.500 0.500 0.000
10 O 0.500 0.000 0.000